Entry 1:
VASP calculation (GGA-PBE) on a relaxed structure of Ti4CrPd3.

Properties
Formation energy from the elements (meV/atom): -421
Space-group type: P4/mmm, No. 123
Electronic total energy (eV per atom): -7.519

```
Ti4CrPd3
1.0
2.9923 0.0000 0.0000
0.0000 2.9923 0.0000
0.0000 0.0000 13.6968
Ti Cr Pd
4 1 3
direct
0.0000 0.0000 0.1069 Ti
0.0000 0.0000 0.3678 Ti
0.0000 0.0000 0.6322 Ti
0.0000 0.0000 0.8931 Ti
0.5000 0.5000 0.0000 Cr
0.5000 0.5000 0.2363 Pd
0.5000 0.5000 0.5000 Pd
0.5000 0.5000 0.7637 Pd
```

---

Entry 2:
VASP calculation (GGA-PBE) on a relaxed structure of Sr4InCu3.

Properties
Formation energy from the elements (meV/atom): -139
Space-group type: Pmm2, No. 25
Electronic total energy (eV per atom): -2.858

```
Sr4InCu3
1.0
4.5139 0.0000 0.0000
0.0000 4.5734 0.0000
0.0000 0.0000 11.8969
Sr In Cu
4 1 3
direct
0.0000 0.0000 0.0000 Sr
0.0000 0.5000 0.2685 Sr
0.5000 0.0000 0.4786 Sr
0.5000 0.5000 0.7809 Sr
0.0000 0.0000 0.6908 In
0.0000 0.5000 0.5666 Cu
0.5000 0.0000 0.1857 Cu
0.5000 0.5000 0.0835 Cu
```

---

Entry 3:
VASP calculation (GGA-PBE) on a relaxed structure of PrAl3Au6.

Properties
Formation energy from the elements (meV/atom): -487
Space-group type: P1, No. 1
Electronic total energy (eV per atom): -4.054

```
PrAl3Au6
1.0
4.9267 0.0000 0.0000
1.8141 6.0349 0.0000
0.4000 2.5151 6.5712
Pr Al Au
1 3 6
direct
0.0000 0.0000 0.0000 Pr
0.1654 0.3540 0.2651 Al
0.3143 0.6128 0.4732 Al
0.5937 0.7275 0.7683 Al
0.1488 0.5439 0.8749 Au
0.4606 0.1630 0.7099 Au
0.5145 0.9637 0.2907 Au
0.6231 0.5033 0.1569 Au
0.8594 0.4642 0.5583 Au
0.9766 0.9960 0.5077 Au
```

---

Record order is preserved below.
Theoretical density: 7.619 4.435 11.930 g/cm³